A plane-wave DFT calculation with PBE-GGA was carried out for a geometry-optimized Re3Ag structure.

Properties
The value obtained for the energy relative to the lowest polymorph listed for this composition is 0 meV per atom. As for the volume: 15.620 A^3/atom. As for the crystal system: trigonal. The value obtained for the energy relative to the elements is 276.3 meV/atom.

Structure (extended XYZ):
```
4
Lattice="1.386 0.800 9.388 -1.386 0.800 9.388 0.000 -1.601 9.388" Properties=species:S:1:pos:R:3 pbc="T T T"
Re 0.000 0.000 0.000
Re 0.000 0.000 7.182
Re 0.000 0.000 20.982
Ag 0.000 0.000 14.082
```